Entry from Alexandria via LeMat-Bulk: a relaxed structure of MnSnIr (PBE).

The structure belongs to space group I4mm (No. 107); the cell edges are 3.476, 3.476 and 8.429 Å and the angles 90.00°, 90.00° and 90.00°. The asymmetric unit holds Mn at (0.000, 0.000, 0.000), Sn at (0.000, 0.000, 0.323) and Ir at (0.000, 0.000, 0.656).

The energy of formation is 0.045 eV/atom. The magnetic moment comes out at 8.582 Bohr magnetons per cell. Its calculated total energy is -7.299 eV per atom. The value obtained for the volume is 16.976 Å³/atom. The mass density is 11.930 g/cm³.